Entry 1:
Material: NaLi2Si2
Method: DFT, GGA-PBE
State: optimized geometry

Lattice parameters (Å, degrees): 3.804 5.131 5.810 96.47 109.11 90.00
Positions (direct):
Li  0.664  0.593  0.327
Li  0.336  0.407  0.673
Na  0.000  0.000  0.000
Si  0.281  0.887  0.563
Si  0.719  0.113  0.437

Calculated values
**VASP energy**: -3.297 eV/atom
**Space group**: No. 12

Entry 2:
Material: NaLiSi
Method: DFT, GGA-PBE
State: optimized geometry

Lattice parameters (Å, degrees): 3.291 5.208 7.381 103.82 102.87 108.41
Positions (direct):
Li  0.094  0.770  0.418
Na  0.432  0.782  0.083
Li  0.906  0.230  0.582
Si  0.677  0.679  0.676
Na  0.568  0.218  0.917
Si  0.323  0.321  0.324

Calculated values
**VASP energy**: -2.884 eV/atom
**Space group**: No. 2

Entry 3:
Material: NaLi2Si2
Method: DFT, GGA-PBE
State: optimized geometry

Lattice parameters (Å, degrees): 7.674 7.674 2.876 90.00 90.00 90.00
Positions (direct):
Na  0.000  0.000  0.000
Li  0.183  0.317  0.000
Si  0.610  0.890  0.500
Li  0.683  0.183  0.000
Si  0.110  0.610  0.500
Na  0.500  0.500  0.000
Li  0.817  0.683  0.000
Si  0.390  0.110  0.500
Si  0.890  0.390  0.500
Li  0.317  0.817  0.000

Calculated values
**VASP energy**: -3.245 eV/atom
**Space group**: No. 127

Entry 4:
Material: NaLiSi
Method: DFT, GGA-PBE
State: optimized geometry

Lattice parameters (Å, degrees): 4.427 4.427 8.501 90.01 90.00 120.00
Positions (direct):
Si  0.000  0.000  0.633
Li  0.667  0.333  0.541
Na  0.333  0.667  0.827
Si  0.000  0.000  0.367
Na  0.667  0.333  0.173
Li  0.333  0.667  0.459

Calculated values
**VASP energy**: -2.950 eV/atom
**Space group**: No. 164

Record-wise ΔE_f (raw) values, in eV/atom: -0.098 0.001 -0.046 -0.065